# 1
A relaxed LiGeMoOs crystal. Source: Alexandria, functional PBE.

Values from the calculation:
Calculated volume, Å³ per cell: 223.8
Crystal system: cubic
Total magnetization, μB/cell: 0.0
Total DFT energy (no corrections), Ry/atom: -0.533

a = 6.0718 Å, b = 6.0718 Å, c = 6.0718 Å
α = 90.00°, β = 90.00°, γ = 90.00°
Last column: nearest neighbours and their distance in Å.
Space group F-43m (No. 216)
Inequivalent atoms, fractional coordinates:
Li 0.0000 0.0000 0.0000 [4 per cell]  4 Ge 2.63, 4 Mo 2.63
Ge 0.2500 0.2500 0.2500 [4 per cell]  4 Li 2.63, 4 Os 2.63
Mo 0.2500 0.2500 0.7500 [4 per cell]  4 Li 2.63, 4 Os 2.63
Os 0.0000 0.0000 0.5000 [4 per cell]  4 Ge 2.63, 4 Mo 2.63



# 2
A relaxed LiGeMo2Pb crystal. Source: Alexandria, functional PBE.

Values from the calculation:
Calculated volume, Å³ per cell: 86.2
Crystal system: tetragonal
Total magnetization, μB/cell: 0.6
Total DFT energy (no corrections), Ry/atom: -0.388

a = 4.5705 Å, b = 4.5705 Å, c = 4.1271 Å
α = 90.00°, β = 90.00°, γ = 90.00°
Last column: nearest neighbours and their distance in Å.
Space group P4/mmm (No. 123)
Inequivalent atoms, fractional coordinates:
Li 0.0000 0.0000 0.0000 [1 per cell]  2 Ge 2.06, 4 Mo 2.29
Ge 0.0000 0.0000 0.5000 [1 per cell]  2 Li 2.06
Mo 0.0000 0.5000 0.0000 [2 per cell]  2 Li 2.29
Pb 0.5000 0.5000 0.5000 [1 per cell]  8 Mo 3.08, 4 Ge 3.23



# 3
A relaxed LiRe2GeMo crystal. Source: Alexandria, functional PBE.

Values from the calculation:
Calculated volume, Å³ per cell: 103.0
Crystal system: tetragonal
Total magnetization, μB/cell: 0.0
Total DFT energy (no corrections), Ry/atom: -0.488

a = 4.6889 Å, b = 4.6889 Å, c = 4.6858 Å
α = 90.00°, β = 90.00°, γ = 90.00°
Last column: nearest neighbours and their distance in Å.
Space group P4/mmm (No. 123)
Inequivalent atoms, fractional coordinates:
Li 0.0000 0.0000 0.0000 [1 per cell]  2 Mo 2.34
Re 0.0000 0.5000 0.5000 [2 per cell]  2 Mo 2.34
Ge 0.5000 0.5000 0.0000 [1 per cell]  8 Re 3.31, 4 Li 3.32
Mo 0.0000 0.0000 0.5000 [1 per cell]  2 Li 2.34, 4 Re 2.34



# 4
A relaxed LiGeMoRu crystal. Source: Alexandria, functional PBE.

Values from the calculation:
Calculated volume, Å³ per cell: 221.0
Crystal system: cubic
Total magnetization, μB/cell: 0.0
Total DFT energy (no corrections), Ry/atom: -0.502

a = 6.0459 Å, b = 6.0459 Å, c = 6.0459 Å
α = 90.00°, β = 90.00°, γ = 90.00°
Last column: nearest neighbours and their distance in Å.
Space group F-43m (No. 216)
Inequivalent atoms, fractional coordinates:
Li 0.0000 0.0000 0.0000 [4 per cell]  4 Mo 2.62, 4 Ge 2.62
Ge 0.2500 0.2500 0.2500 [4 per cell]  4 Li 2.62, 4 Ru 2.62
Mo 0.2500 0.2500 0.7500 [4 per cell]  4 Li 2.62, 4 Ru 2.62
Ru 0.0000 0.0000 0.5000 [4 per cell]  4 Ge 2.62, 4 Mo 2.62



Computed calculated formation energy, in the same sequence as the records: -106 1104 1807 -165 meV per atom.